DFT (GGA-PBE) results for a geometry-optimized BaCaY2 structure.

Unit cell a=6.778 b=6.778 c=6.778 alpha=133.97 beta=133.97 gamma=67.13
Sites, in units of the cell vectors:
Y: 0.000 0.000 0.000
Y: 0.500 0.500 0.000
Ca: 0.750 0.250 0.500
Ba: 0.250 0.750 0.500

Final energy: -15.81 eV/cell
Space group: I4/mmm
Energy of formation from the pure elements: 0.26 eV/atom